# 1
First-principles (PBE) data for crystalline Pm2Ho7Th2 at its relaxed geometry, as listed in the Alexandria database.

Summary:
Energy of formation from the pure elements (eV/atom): 0.183
Polymorph energy (0 for the lowest one) (eV/f.u.): 0.28
Size of the total moment (Bohr magnetons per cell): 0.00
Raw total energy (eV per cell): -54.377
Density of states at the Fermi level (states/eV/f.u.): 17.09

a b c (Å): 6.1166 7.9923 7.9923
angles (deg): 91.99 73.86 73.86
Closest atoms and distances in Å follow each position.
Fractional positions:
Pm (0.5000, 0.2137, 0.7863)  6 Ho 3.30-3.54
Pm (0.5000, 0.7863, 0.2137)  6 Ho 3.30-3.54
Ho (0.1695, 0.0674, 0.5892)  5 Ho 3.21-3.58, 2 Pm 3.30-3.43
Ho (0.8305, 0.4108, 0.9326)  5 Ho 3.21-3.58, 2 Pm 3.30-3.43
Ho (0.8305, 0.9326, 0.4108)  5 Ho 3.21-3.58, 2 Pm 3.30-3.43
Ho (0.1695, 0.5892, 0.0674)  5 Ho 3.21-3.58, 2 Pm 3.30-3.43
Ho (0.0000, 0.0000, 0.0000)  6 Ho 3.27-3.48
Ho (0.5780, 0.7571, 0.7571)  5 Ho 3.33-3.58, 3 Th 3.44-3.55, 2 Pm 3.54
Ho (0.4220, 0.2429, 0.2429)  5 Ho 3.33-3.58, 3 Th 3.44-3.55, 2 Pm 3.54
Th (0.8122, 0.4085, 0.4085)  7 Ho 3.44-3.78, 2 Th 3.54-3.62, 2 Pm 3.74
Th (0.1878, 0.5915, 0.5915)  7 Ho 3.44-3.78, 2 Th 3.54-3.62, 2 Pm 3.74

# 2
First-principles (PBE) data for crystalline Pm3Ho6Th2 at its relaxed geometry, as listed in the Alexandria database.

Summary:
Energy of formation from the pure elements (eV/atom): 0.212
Size of the total moment (Bohr magnetons per cell): 0.00
Raw total energy (eV per cell): -54.229
Density of states at the Fermi level (states/eV/f.u.): 15.88

a b c (Å): 6.1454 6.1537 11.5509
angles (deg): 84.83 79.61 60.04
Closest atoms and distances in Å follow each position.
Fractional positions:
Pm (0.0000, 0.0000, 0.0000)  6 Pm 3.54-3.58, 6 Ho 3.56
Pm (0.3354, 0.3292, 0.0000)  6 Pm 3.51-3.58, 6 Ho 3.54-3.57
Pm (0.6646, 0.6708, 0.0000)  6 Pm 3.51-3.58, 6 Ho 3.54-3.57
Ho (0.4187, 0.6669, 0.7437)  2 Th 3.45, 6 Ho 3.55-3.56, 3 Pm 3.56-3.57
Ho (0.7522, 0.0000, 0.7443)  2 Th 3.44, 3 Pm 3.54-3.56, 6 Ho 3.55-3.56
Ho (0.0856, 0.3331, 0.7437)  2 Th 3.45, 6 Ho 3.55-3.56, 3 Pm 3.56-3.57
Ho (0.2478, 0.0000, 0.2557)  2 Th 3.44, 3 Pm 3.54-3.56, 6 Ho 3.55-3.56
Ho (0.5813, 0.3331, 0.2563)  2 Th 3.45, 6 Ho 3.55-3.56, 3 Pm 3.56-3.57
Ho (0.9144, 0.6669, 0.2563)  2 Th 3.45, 6 Ho 3.55-3.56, 3 Pm 3.56-3.57
Th (0.1653, 0.6694, 0.5000)  6 Ho 3.44-3.45, 3 Th 3.53-3.56
Th (0.8347, 0.3306, 0.5000)  6 Ho 3.44-3.45, 3 Th 3.53-3.56

# 3
First-principles (PBE) data for crystalline Pm7Ho3Th at its relaxed geometry, as listed in the Alexandria database.

Summary:
Energy of formation from the pure elements (eV/atom): 0.192
Size of the total moment (Bohr magnetons per cell): 0.00
Raw total energy (eV per cell): -52.291
Density of states at the Fermi level (states/eV/f.u.): 18.16

a b c (Å): 8.6755 7.1857 7.1857
angles (deg): 120.00 90.00 90.00
Closest atoms and distances in Å follow each position.
Fractional positions:
Pm (0.1161, 0.1697, 0.8303)  8 Pm 3.53-3.66, 1 Th 3.54, 2 Ho 3.56
Pm (0.1161, 0.1697, 0.3394)  8 Pm 3.53-3.66, 1 Th 3.54, 2 Ho 3.56
Pm (0.1156, 0.6667, 0.3333)  9 Pm 3.59, 3 Ho 3.60
Pm (0.4543, 0.8324, 0.1676)  2 Ho 3.51, 7 Pm 3.57-3.61, 2 Th 3.59
Pm (0.4543, 0.3353, 0.1676)  2 Ho 3.51, 7 Pm 3.57-3.61, 2 Th 3.59
Pm (0.4543, 0.8324, 0.6647)  2 Ho 3.51, 7 Pm 3.57-3.61, 2 Th 3.59
Pm (0.1161, 0.6606, 0.8303)  8 Pm 3.53-3.66, 1 Th 3.54, 2 Ho 3.56
Ho (0.7794, 0.4976, 0.5024)  5 Pm 3.51-3.60, 1 Th 3.51, 4 Ho 3.54-3.64
Ho (0.7794, 0.4976, 0.9952)  5 Pm 3.51-3.60, 1 Th 3.51, 4 Ho 3.54-3.64
Ho (0.7794, 0.0048, 0.5024)  5 Pm 3.51-3.60, 1 Th 3.51, 4 Ho 3.54-3.64
Th (0.4505, 0.3333, 0.6667)  3 Ho 3.51, 9 Pm 3.54-3.59